[1]
Material: AgRhN3
Method: DFT, PBE
State: relaxed

Results
* volume: 62.4 Å³ per cell
* E: -21.24 eV/cell
* total magnetization: 0.00 μB/f.u.
* ΔE_f (raw): 2.788 eV/atom
* DOS at the Fermi energy: 4.3 states/eV per cell

a = 3.9666 Å, b = 3.9666 Å, c = 3.9666 Å
α = 90.00°, β = 90.00°, γ = 90.00°
Last column: nearest neighbours and their distance in Å.
Space group Pm-3m (No. 221)
Inequivalent atoms, fractional coordinates:
Ag 0.0000 0.0000 0.0000 (multiplicity 1)  6 N 1.98
Rh 0.5000 0.5000 0.5000 (multiplicity 1)  12 N 2.80
N 0.0000 0.0000 0.5000 (multiplicity 3)  2 Ag 1.98

=====

[2]
Material: CsBa2LaBr
Method: DFT, PBE
State: relaxed

Results
* volume: 272.4 Å³ per cell
* E: -12.54 eV/cell
* total magnetization: 3.50 μB/f.u.
* ΔE_f (raw): -0.249 eV/atom
* DOS at the Fermi energy: 7.0 states/eV per cell
* excess energy over the best structure of this formula in the dataset: 0.000 eV/atom

a = 6.7389 Å, b = 6.7389 Å, c = 5.9974 Å
α = 90.00°, β = 90.00°, γ = 90.00°
Last column: nearest neighbours and their distance in Å.
Space group P4/mmm (No. 123)
Inequivalent atoms, fractional coordinates:
Cs 0.0000 0.0000 0.0000 (multiplicity 1)  8 Ba 4.51, 4 La 4.77
Ba 0.0000 0.5000 0.5000 (multiplicity 2)  2 Br 3.37
La 0.5000 0.5000 0.0000 (multiplicity 1)  2 Br 3.00
Br 0.5000 0.5000 0.5000 (multiplicity 1)  2 La 3.00